A plane-wave DFT calculation with PBE was carried out for a geometry-optimized BPSeO2 structure.

The value obtained for the density of states at the Fermi level is 2.08 states/eV/f.u. The value obtained for the formation energy (no corrections) is 1.3 eV per formula unit. The space group is No. 123. The value obtained for the total energy is -4.8289 eV/atom. The calculation puts the energy above the most stable polymorph in this dataset at 0 meV per atom.

POSCAR file:
```
BPSeO2
1.0
-3.277 -0.468 1.055
1.101 -0.312 3.280
-0.432 4.265 0.550
P B O Se
1 1 2 1
Direct
0.000 0.000 0.500
0.000 0.000 0.000
0.000 0.500 0.000
0.500 0.000 0.000
0.500 0.500 0.500
```